LaYMo2Au: optimized geometry, PBE-GGA.

Results
- Calculated total energy: -29.630 eV per cell
- Density of states at the Fermi level: 7.08 states/eV/f.u.

POSCAR file:
```
LaYMo2Au
1.0
-2.6534 -2.4032 3.3159
-0.9173 -4.0444 -3.6652
4.0145 -2.3067 1.5406
Au La Mo Y
1 1 2 1
Direct
0.0000 0.5000 0.0000 Au
0.0000 0.0000 0.0000 La
0.0000 0.0000 0.5000 Mo
0.5000 0.0000 0.0000 Mo
0.5000 0.5000 0.5000 Y
```